Entry 1:
! TaNb2ZnH, relaxed, DFT PBE; values from VASP
&SYSTEM
  ibrav = 0, nat = 5, ntyp = 4
/
ATOMIC_SPECIES
Nb 92.91 Nb.upf
Ta 180.95 Ta.upf
H 1.01 H.upf
Zn 65.41 Zn.upf
CELL_PARAMETERS angstrom
3.983 0.000 0.000
0.000 3.983 0.000
0.000 0.000 4.530
ATOMIC_POSITIONS crystal
Nb 0.000 0.500 0.000
Nb 0.500 0.000 0.000
Ta 0.500 0.500 0.500
H 0.000 0.000 0.000
Zn 0.000 0.000 0.500
! space-group type: P4/mmm, No. 123
! calculated density: 10.01 g/cm3
! distance to the lowest polymorph of the same formula: 37 meV per atom
! magnetization: 0.0 μB/f.u.


Entry 2:
! NpGaN, relaxed, DFT PBE; values from VASP
&SYSTEM
  ibrav = 0, nat = 3, ntyp = 3
/
ATOMIC_SPECIES
Np 237.00 Np.upf
N 14.01 N.upf
Ga 69.72 Ga.upf
CELL_PARAMETERS angstrom
4.103 0.000 0.000
0.000 4.103 0.000
-2.052 -2.052 3.410
ATOMIC_POSITIONS crystal
Np 0.244 0.244 0.488
N 0.943 0.943 0.885
Ga 0.663 0.663 0.327
! space-group type: I4mm, No. 107
! raw formation energy: 0.26 eV per atom
! calculated density: 9.28 g/cm3
! magnetization: 3.8 μB/f.u.


Entry 3:
! V2GeAuBr, relaxed, DFT PBE; values from VASP
&SYSTEM
  ibrav = 0, nat = 5, ntyp = 4
/
ATOMIC_SPECIES
V 50.94 V.upf
Au 196.97 Au.upf
Ge 72.64 Ge.upf
Br 79.90 Br.upf
CELL_PARAMETERS angstrom
-3.954 2.949 1.211
0.775 -1.011 4.995
3.095 4.014 0.332
ATOMIC_POSITIONS crystal
V 0.500 0.000 0.000
V 0.000 0.000 0.500
Au 0.000 0.000 0.000
Ge 0.500 0.500 0.500
Br 0.000 0.500 0.000
! space-group type: P4/mmm, No. 123
! raw formation energy: 1.34 eV per atom
! calculated density: 5.64 g/cm3
! magnetization: 6.8 μB/f.u.


Entry 4:
! CaNdAuO4, relaxed, DFT PBE; values from VASP
&SYSTEM
  ibrav = 0, nat = 14, ntyp = 4
/
ATOMIC_SPECIES
O 16.00 O.upf
Ca 40.08 Ca.upf
Nd 144.24 Nd.upf
Au 196.97 Au.upf
CELL_PARAMETERS angstrom
6.206 -0.525 0.000
-2.974 5.473 0.000
0.000 0.000 6.867
ATOMIC_POSITIONS crystal
O 0.236 0.227 0.750
Ca 0.500 0.500 0.500
O 0.287 0.713 0.464
Nd 0.174 0.826 0.750
O 0.764 0.773 0.250
O 0.773 0.764 0.750
Au 0.146 0.854 0.250
O 0.287 0.713 0.036
Nd 0.826 0.174 0.250
O 0.713 0.287 0.536
Au 0.854 0.146 0.750
O 0.227 0.236 0.250
O 0.713 0.287 0.964
Ca 0.500 0.500 0.000
! space-group type: Cmcm, No. 63
! raw formation energy: -1.75 eV per atom
! calculated density: 6.65 g/cm3
! magnetization: 1.9 μB/f.u.